Mg3AgIr | Alexandria | SCAN | single point on PBEsol structure; SG = Pm-3m (221); formation energy from the elements = 119 meV per atom
1.0
4.889 0.000 0.000
0.000 4.889 0.000
0.000 0.000 4.889
Mg Ir Ag
3 1 1
Direct
0.000 0.500 0.000
0.000 0.000 0.500
0.500 0.000 0.000
0.000 0.000 0.000
0.500 0.500 0.500

Na2S5 | Alexandria | SCAN | single point on PBEsol structure; E_form (uncorrected) = -0.61 eV per atom; SG = Pnma (62)
1.0
5.779 0.000 0.000
0.000 7.538 0.000
0.000 0.000 14.469
Na S
8 20
Direct
0.204 0.943 0.750
0.704 0.557 0.250
0.296 0.443 0.750
0.796 0.057 0.250
0.000 0.000 0.500
0.500 0.500 0.500
0.500 0.500 0.000
0.000 0.000 0.000
0.114 0.463 0.134
0.614 0.037 0.866
0.386 0.963 0.366
0.886 0.537 0.634
0.886 0.537 0.866
0.386 0.963 0.134
0.614 0.037 0.634
0.114 0.463 0.366
0.274 0.358 0.250
0.774 0.142 0.750
0.226 0.858 0.250
0.726 0.642 0.750
0.838 0.300 0.398
0.338 0.200 0.602
0.662 0.800 0.102
0.162 0.700 0.898
0.162 0.700 0.602
0.662 0.800 0.398
0.338 0.200 0.898
0.838 0.300 0.102

LiAlIr | Alexandria | SCAN | single point on PBEsol structure; SG = P3m1 (156); formation energy from the elements = -340 meV per atom
1.0
2.782 0.000 0.000
-1.391 2.409 0.000
0.000 0.000 6.472
Ir Al Li
1 1 1
Direct
0.333 0.667 0.674
0.000 0.000 0.979
0.667 0.333 0.348

Calculated final energy in order - -116.79 -243.23 -82.26 eV for the cell shown